# 1
Entry from the Alexandria database: crystalline CaSm8Ho2 at its relaxed geometry (PBE).

Unit cell a=18.4943 b=5.1295 c=8.1087 alpha=90.00 beta=105.18 gamma=90.00
With the nearest neighbours (Å) after each atom.
Space group C2/m (No. 12)
Symmetry-distinct sites (fractional):
Ca: 0.0000 0.0000 0.0000  12 Sm 3.67-3.69
Sm: 0.0472 0.5000 0.7193  9 Sm 3.53-3.76, 1 Ho 3.56, 2 Ca 3.68
Sm: 0.0929 0.0000 0.4614  8 Sm 3.55-3.67, 3 Ho 3.59-3.62, 1 Ca 3.69
Sm: 0.1407 0.5000 0.1908  7 Sm 3.53-3.76, 3 Ho 3.55-3.56, 2 Ca 3.69
Sm: 0.1845 0.0000 0.9100  8 Sm 3.53-3.66, 3 Ho 3.61, 1 Ca 3.67
Ho: 0.2272 0.5000 0.6367  10 Sm 3.55-3.62, 2 Ho 3.63

Output
The value obtained for the total energy is -0.3241 Ry/atom. Its total magnetic moment is 0.0 μB per formula unit.

# 2
Entry from the Alexandria database: crystalline Rb2Ge2Cl7 at its relaxed geometry (PBE).

Unit cell a=11.7634 b=11.4494 c=6.1407 alpha=90.00 beta=98.41 gamma=90.00
With the nearest neighbours (Å) after each atom.
Space group C2/m (No. 12)
Symmetry-distinct sites (fractional):
Rb: 0.0000 0.2333 0.0000  6 Cl 3.33-3.54
Ge: 0.2260 0.5000 0.4689  3 Cl 2.33-2.36
Cl: 0.0000 0.5000 0.5000  2 Ge 2.69
Cl: 0.0975 0.0000 0.2928  1 Ge 2.36
Cl: 0.2467 0.1537 0.7661  1 Ge 2.33

Output
The value obtained for the total energy is -0.2488 Ry/atom. The calculation puts the energy relative to the elements, uncorrected at -1195 meV/atom. Its total magnetic moment is 0.5 μB per formula unit.

# 3
Entry from the Alexandria database: crystalline AgOs2Pd at its relaxed geometry (PBE).

Unit cell a=7.3079 b=7.3079 c=5.1141 alpha=90.00 beta=90.00 gamma=90.00
With the nearest neighbours (Å) after each atom.
Space group I-42d (No. 122)
Symmetry-distinct sites (fractional):
Ag: 0.0000 0.0000 0.0000  2 Pd 2.56, 4 Os 2.75
Os: 0.2328 0.2500 0.6250  2 Os 2.57, 2 Pd 2.58, 2 Ag 2.75
Pd: 0.0000 0.0000 0.5000  2 Ag 2.56, 4 Os 2.58

Output
The value obtained for the total energy is -0.4636 Ry/atom. Its total magnetic moment is 1.6 μB per formula unit. The energy relative to the lowest polymorph listed for this composition is 1.38 eV per formula unit.

# 4
Entry from the Alexandria database: crystalline Tl2TeF at its relaxed geometry (PBE).

Unit cell a=4.8492 b=6.0672 c=9.2035 alpha=85.89 beta=75.83 gamma=84.36
With the nearest neighbours (Å) after each atom.
Space group P-1 (No. 2)
Symmetry-distinct sites (fractional):
Tl: 0.1346 0.2165 0.3449  1 F 2.64
Tl: 0.1942 0.7353 0.0722  3 F 2.53-2.76
Te: 0.4230 0.4042 0.6457  1 Te 2.80
F: 0.2539 0.3194 0.0535  4 Tl 2.53-2.76

Output
The value obtained for the total energy is -0.2490 Ry/atom. The calculation puts the energy relative to the elements, uncorrected at -951 meV/atom. Its total magnetic moment is 0.0 μB per formula unit. The energy relative to the lowest polymorph listed for this composition is 0.00 eV per formula unit.

# 5
Entry from the Alexandria database: crystalline Pm3Mg2Au7 at its relaxed geometry (PBE).

Unit cell a=4.7706 b=28.4674 c=4.0051 alpha=90.00 beta=90.00 gamma=90.00
With the nearest neighbours (Å) after each atom.
Space group Cmmm (No. 65)
Symmetry-distinct sites (fractional):
Pm: 0.0000 0.0000 0.0000  12 Au 3.11-3.26
Pm: 0.0000 0.1893 0.0000  8 Au 3.19-3.46, 4 Mg 3.51
Mg: 0.0000 0.3679 0.5000  5 Au 2.60-2.67
Au: 0.0000 0.0903 0.5000  2 Mg 2.67
Au: 0.0000 0.2765 0.5000  1 Mg 2.60, 2 Au 2.82
Au: 0.0000 0.4283 0.0000  2 Mg 2.64, 2 Au 2.86
Au: 0.0000 0.5000 0.5000  4 Au 2.86, 4 Pm 3.11

Output
The value obtained for the total energy is -0.2913 Ry/atom. Its total magnetic moment is 0.0 μB per formula unit.

# 6
Entry from the Alexandria database: crystalline La3CdIr at its relaxed geometry (PBE).

Unit cell a=11.1752 b=5.0424 c=10.1999 alpha=90.00 beta=91.65 gamma=90.00
With the nearest neighbours (Å) after each atom.
Space group C2/m (No. 12)
Symmetry-distinct sites (fractional):
La: 0.0637 0.0000 0.1314  3 La 3.00-3.20, 2 Ir 3.16, 1 Cd 3.32
La: 0.0811 0.5000 0.6532  1 Ir 2.69
La: 0.2397 0.5000 0.1561  3 Ir 2.85-3.18
Cd: 0.1423 0.0000 0.4478  6 La 3.29-3.67, 3 Cd 3.38-3.62
Ir: 0.1024 0.5000 0.9167  2 La 2.69-2.85, 1 Ir 2.89

Output
The value obtained for the total energy is -0.3926 Ry/atom. Its total magnetic moment is 0.0 μB per formula unit. The energy relative to the lowest polymorph listed for this composition is 0.29 eV per formula unit.